No. 1
A plane-wave DFT calculation with PBE-GGA was carried out for a relaxed HoMg4Ni crystal.

## Properties
Density of states at the Fermi level, states/eV/atom: 0.820
SG: Immm (71)
Raw total energy, eV per atom: -2.830
Calculated formation energy, meV/atom: -41

Structure (extended XYZ):
```
12
Lattice="-3.1734 -1.7194 3.9201 0.3904 -6.3875 -2.4857 7.1598 2.8052 3.3967" Properties=species:S:1:pos:R:3 pbc="T T T"
Mg -0.2366 -2.6158 2.2815
Mg 0.3119 -5.1023 -1.9855
Mg 4.6135 -2.6860 2.5497
Mg 4.4044 0.7349 3.8809
Mg 0.0786 -1.2853 -0.5002
Mg 2.3494 -1.7120 4.7684
Mg -0.0275 -6.0366 0.9502
Mg 2.0275 -3.5898 0.0627
Ni -0.6683 -3.6636 -0.1711
Ni 5.0452 -1.6382 5.0022
Ho 1.9789 -4.7829 3.1212
Ho 2.3980 -0.5188 1.7100
```

No. 2
A plane-wave DFT calculation with PBE-GGA was carried out for a relaxed CsSc2TlBr8 crystal.

## Properties
Density of states at the Fermi level, states/eV/atom: 0.000
SG: R-3 (148)
Raw total energy, eV per atom: -3.993

Structure (extended XYZ):
```
12
Lattice="7.4647 0.0000 0.0000 3.7323 6.4646 0.0000 3.7323 2.1549 10.4412" Properties=species:S:1:pos:R:3 pbc="T T T"
Sc 11.1970 6.4646 7.7207
Sc 3.7323 2.1549 2.7204
Cs 7.4647 4.3097 5.2206
Tl 0.0000 0.0000 0.0000
Br 6.1100 2.4107 1.9588
Br 3.7323 2.1549 5.2057
Br 9.7866 4.0860 1.9588
Br 6.4974 6.4324 1.9588
Br 11.1970 6.4646 5.2355
Br 8.4319 2.1870 8.4824
Br 5.1427 4.5334 8.4824
Br 8.8194 6.2087 8.4824
```

No. 3
A plane-wave DFT calculation with PBE-GGA was carried out for a relaxed AcEuCuIr crystal.

## Properties
Density of states at the Fermi level, states/eV/atom: 1.388
SG: F-43m (216)
Raw total energy, eV per atom: -7.136
Calculated formation energy, meV/atom: -301

Structure (extended XYZ):
```
4
Lattice="-0.0065 2.6236 4.4421 1.0429 -2.4276 4.4311 4.4407 0.9172 2.4606" Properties=species:S:1:pos:R:3 pbc="T T T"
Ac 0.0000 0.0000 0.0000
Eu 2.7386 0.5566 5.6669
Cu 4.1078 0.8348 8.5004
Ir 1.3693 0.2783 2.8335
```

No. 4
A plane-wave DFT calculation with PBE-GGA was carried out for a relaxed TlNiTe2 crystal.

## Properties
Density of states at the Fermi level, states/eV/atom: 0.691
SG: Cm (8)
Raw total energy, eV per atom: -3.722

Structure (extended XYZ):
```
4
Lattice="-1.6911 4.5021 -4.4902 -4.2355 4.7626 -1.6337 1.5354 5.2440 0.8895" Properties=species:S:1:pos:R:3 pbc="T T T"
Tl -2.4728 7.8066 -2.9145
Te -4.9992 9.1362 -5.2861
Te -3.1602 11.1845 -3.8348
Ni -0.3458 8.1444 -1.0507
```

No. 5
A plane-wave DFT calculation with PBE-GGA was carried out for a relaxed NdZnBi crystal.

## Properties
Density of states at the Fermi level, states/eV/atom: 0.540
SG: C2/m (12)
Raw total energy, eV per atom: -3.807
Calculated formation energy, meV/atom: -500

Structure (extended XYZ):
```
6
Lattice="-1.7157 -2.9615 -3.0283 3.1360 1.3009 -3.0591 4.1956 -4.7343 5.7379" Properties=species:S:1:pos:R:3 pbc="T T T"
Nd 4.1862 -4.7731 -1.1239
Nd 1.4298 -1.6219 0.7744
Bi 2.1509 -2.4646 -2.2625
Bi 3.4650 -3.9303 1.9131
Zn 1.5680 0.6504 -1.5295
Zn -0.8579 -1.4807 -1.5141
```

No. 6
A plane-wave DFT calculation with PBE-GGA was carried out for a relaxed HgRh2Se crystal.

## Properties
Density of states at the Fermi level, states/eV/atom: 0.677
SG: P4/mmm (123)
Raw total energy, eV per atom: -4.587

Structure (extended XYZ):
```
4
Lattice="-2.4013 1.0166 1.6439 -1.1223 -2.8678 0.1341 3.5685 -1.1204 5.9056" Properties=species:S:1:pos:R:3 pbc="T T T"
Se -0.8697 -1.2057 2.3654
Hg 0.9146 -1.7659 5.3182
Rh 0.1246 -0.0391 0.2062
Rh 1.6596 -0.5211 2.7465
```

No. 7
A plane-wave DFT calculation with PBE-GGA was carried out for a relaxed Mg2ZnTc crystal.

## Properties
Density of states at the Fermi level, states/eV/atom: 0.867
SG: Pm (6)
Raw total energy, eV per atom: -3.586
Calculated formation energy, meV/atom: 121
Energy above the lowest structure with this stoichiometry, meV/atom: 36.7

Structure (extended XYZ):
```
4
Lattice="-3.8117 -2.6601 -0.3020 1.2680 -1.9824 1.4569 -1.7877 2.0610 4.4114" Properties=species:S:1:pos:R:3 pbc="T T T"
Zn -2.4706 -1.0049 4.1143
Mg -1.5706 1.7478 4.4300
Mg -2.2758 -0.9707 1.3532
Tc -0.0620 -0.2534 3.0144
```

No. 8
A plane-wave DFT calculation with PBE-GGA was carried out for a relaxed Li16Ac2Mg crystal.

## Properties
Density of states at the Fermi level, states/eV/atom: 0.757
SG: R3m (160)
Raw total energy, eV per atom: -2.084
Calculated formation energy, meV/atom: 44

Structure (extended XYZ):
```
19
Lattice="7.6058 -0.0670 0.7828 0.6995 7.5738 0.7828 -0.0742 -0.0670 7.6456" Properties=species:S:1:pos:R:3 pbc="T T T"
Li 7.8731 3.6521 8.8106
Li 2.8214 7.5042 6.4544
Li 8.2592 7.4651 5.3858
Li 2.8163 2.5456 7.1662
Li 1.4271 4.9010 5.6176
Li 5.5455 2.0511 8.4245
Li 4.4266 7.4651 8.8106
Li 3.2182 6.5145 3.6014
Li 2.5993 5.3107 8.4245
Li 6.0977 7.5042 3.5267
Li 6.8056 2.5456 3.6014
Li 5.0198 0.9261 5.6176
Li 7.7502 2.0511 6.4544
Li 5.4223 4.9010 2.0474
Li 0.8440 0.7629 0.9445
Li 8.0803 5.3107 3.5267
Ac 2.9773 2.6910 3.3318
Ac 5.2841 4.7761 5.9134
Mg 7.3896 6.6791 8.2695
```